Here is crystalline YMnF5 at its relaxed geometry from Alexandria. Energies are from PBE+U.

Cell: 5.7747 5.7747 7.7062 Å, 70.86 70.86 73.58°
With the nearest neighbours (Å) after each atom.
Fractional coordinates of all 14 atoms:
Y 0.5498 0.4502 0.2500  5 F 2.15-2.27
Y 0.4502 0.5498 0.7500  5 F 2.15-2.27
Mn 0.0000 0.0000 0.0000  6 F 2.08-2.23
Mn 0.0000 0.0000 0.5000  6 F 2.08-2.23
F 0.7812 0.7277 0.1282  1 Mn 2.08, 1 Y 2.15
F 0.3098 0.6727 0.4625  1 Mn 2.23, 2 Y 2.27-2.43
F 0.7277 0.7812 0.6282  1 Mn 2.08, 1 Y 2.15
F 0.8759 0.1241 0.2500  2 Mn 2.11, 1 Y 2.26
F 0.3273 0.6902 0.0375  1 Mn 2.23, 2 Y 2.27-2.43
F 0.6727 0.3098 0.9625  1 Mn 2.23, 2 Y 2.27-2.43
F 0.1241 0.8759 0.7500  2 Mn 2.11, 1 Y 2.26
F 0.2723 0.2188 0.3718  1 Mn 2.08, 1 Y 2.15
F 0.6902 0.3273 0.5375  1 Mn 2.23, 2 Y 2.27-2.43
F 0.2188 0.2723 0.8718  1 Mn 2.08, 1 Y 2.15

Values from the calculation:
magnetic moment	0.7143	μB/atom
final energy	-6.806	eV per atom
ΔE to the lowest computed polymorph	0.0	meV/atom